Density functional theory data (GGA-PBE) for an optimized crystal structure of LiNdZnSn.

Cell: 7.220 7.220 7.220 Å, 90.00 90.00 90.00°
Space group F-43m (No. 216)
One atom of each set of equivalent atoms:
1 Li 0.000 0.000 0.000 (multiplicity 4)
2 Nd 0.000 0.000 0.500 (multiplicity 4)
3 Zn 0.250 0.250 0.750 (multiplicity 4)
4 Sn 0.250 0.250 0.250 (multiplicity 4)

Summary:
The calculation puts the energy of formation from the pure elements at -425.5 meV per atom. As for the total energy: -54.642 eV for the cell shown.

=====

Density functional theory data (GGA-PBE) for an optimized crystal structure of YFe2Ag2.

Cell: 3.751 3.751 13.360 Å, 90.00 90.00 90.00°
Space group I4/mmm (No. 139)
One atom of each set of equivalent atoms:
1 Y 0.000 0.000 0.000 (multiplicity 2)
2 Fe 0.000 0.500 0.250 (multiplicity 4)
3 Ag 0.000 0.000 0.394 (multiplicity 4)

Summary:
The calculation puts the energy of formation from the pure elements at 269.0 meV per atom. As for the total energy: -55.494 eV for the cell shown.

=====

Density functional theory data (GGA-PBE) for an optimized crystal structure of Ac2SmPu.

Cell: 8.456 8.456 8.456 Å, 90.00 90.00 90.00°
Space group Fm-3m (No. 225)
One atom of each set of equivalent atoms:
1 Ac 0.250 0.250 0.250 (multiplicity 8)
2 Sm 0.000 0.000 0.000 (multiplicity 4)
3 Pu 0.000 0.000 0.500 (multiplicity 4)

Summary:
The calculation puts the energy of formation from the pure elements at 240.2 meV per atom. As for the total energy: -105.229 eV for the cell shown. The energy above the most stable polymorph in this dataset is 81 meV per atom.

=====

Density functional theory data (GGA-PBE) for an optimized crystal structure of NaB3Ru.

Cell: 4.098 4.098 4.098 Å, 90.00 90.00 90.00°
Space group Pm-3m (No. 221)
One atom of each set of equivalent atoms:
1 Na 0.000 0.000 0.000 (multiplicity 1)
2 B 0.000 0.500 0.500 (multiplicity 3)
3 Ru 0.500 0.500 0.500 (multiplicity 1)

Summary:
The calculation puts the energy of formation from the pure elements at 577.8 meV per atom. As for the total energy: -27.738 eV for the cell shown. The energy above the most stable polymorph in this dataset is 0 meV per atom.

=====

Density functional theory data (GGA-PBE) for an optimized crystal structure of LiAcTl3.

Cell: 4.877 4.877 11.680 Å, 90.00 90.00 90.00°
Space group I4mm (No. 107)
One atom of each set of equivalent atoms:
1 Li 0.000 0.000 0.000 (multiplicity 2)
2 Ac 0.000 0.000 0.363 (multiplicity 2)
3 Tl 0.000 0.000 0.778 (multiplicity 2)
4 Tl 0.000 0.500 0.104 (multiplicity 4)

Summary:
The calculation puts the energy of formation from the pure elements at -282.1 meV per atom. As for the total energy: -29.063 eV for the cell shown. The energy above the most stable polymorph in this dataset is 0 meV per atom.

=====

Density functional theory data (GGA-PBE) for an optimized crystal structure of PrH.

Cell: 3.8736 3.8736 18.7734 Å, 90.00 90.00 120.00°
Space group R-3m (No. 166, hexagonal axes)
One atom of each set of equivalent atoms:
1 Pr 0.0000 0.0000 0.0000 (multiplicity 3)
2 Pr 0.0000 0.0000 0.5000 (multiplicity 3)
3 H 0.0000 0.0000 0.1255 (multiplicity 6)

Summary:
As for the total energy: -54.240 eV for the cell shown.

=====

Among the records above, which one has the lowest total energy? Ac2SmPu

=====

Which of these has the highest total energy? NaB3Ru